[1]
DFT (PBE) results for a relaxed structure of NpPa3Tl3Se8.

Cell lengths 8.264, 8.266, 9.289 Å; angles 116.43, 90.00, 119.99 degrees
Site moments in Bohr magnetons follow the coordinates.
Element x y z (fractional)
Tl 0.000 0.000 0.000  0.01
Tl 0.000 0.500 0.000  0.01
Tl 0.500 0.500 0.000  0.01
Np 0.000 0.000 0.500  4.02
Pa 0.500 0.500 0.500  1.30
Pa 0.000 0.500 0.500  1.30
Pa 0.500 0.000 0.500  1.30
Se 0.736 0.473 0.708  -0.03
Se 0.264 0.527 0.292  -0.03
Se 0.270 0.032 0.294  -0.04
Se 0.730 0.968 0.706  -0.04
Se 0.238 0.968 0.706  -0.04
Se 0.238 0.476 0.706  -0.04
Se 0.762 0.032 0.294  -0.04
Se 0.762 0.524 0.294  -0.04

Output
uncorrected energy	-6.131	eV/atom
N(E_F)	20.67	states/eV/cell
formation energy without anion corrections	-1038	meV/atom

=====

[2]
DFT (PBE) results for a relaxed structure of ScFe2RhBr.

Cell lengths 4.482, 4.935, 4.482 Å; angles 90.00, 90.00, 90.00 degrees
Site moments in Bohr magnetons follow the coordinates.
Element x y z (fractional)
Fe 0.000 0.000 0.500  2.18
Fe 0.500 0.000 0.000  2.58
Br 0.000 0.500 0.000  0.07
Sc 0.000 0.000 0.000  -0.46
Rh 0.500 0.500 0.500  0.73

Output
uncorrected energy	-5.173	eV/atom
N(E_F)	5.66	states/eV/cell
formation energy without anion corrections	1283	meV/atom

=====

[3]
DFT (PBE) results for a relaxed structure of Pa7Co3.

Cell lengths 5.745, 9.257, 9.257 Å; angles 120.00, 90.00, 90.00 degrees
Element x y z (fractional)
Pa 0.416 0.742 0.871
Pa 0.416 0.129 0.258
Pa 0.641 0.544 0.456
Pa 0.641 0.913 0.456
Pa 0.641 0.544 0.087
Pa 0.141 0.456 0.544
Pa 0.916 0.871 0.742
Pa 0.603 0.333 0.667
Pa 0.141 0.456 0.913
Pa 0.103 0.667 0.333
Pa 0.416 0.129 0.871
Pa 0.916 0.871 0.129
Pa 0.916 0.258 0.129
Pa 0.141 0.087 0.544
Co 0.879 0.181 0.362
Co 0.379 0.362 0.181
Co 0.879 0.181 0.819
Co 0.379 0.819 0.181
Co 0.379 0.819 0.638
Co 0.879 0.638 0.819

Output
energy of formation	-213	kJ/mol of formula units
uncorrected energy	-8.999	eV/atom
N(E_F)	34.37	states/eV/cell

=====

[4]
DFT (PBE) results for a relaxed structure of Pd2RhPbF.

Cell lengths 5.118, 4.414, 5.118 Å; angles 90.00, 90.00, 90.00 degrees
Site moments in Bohr magnetons follow the coordinates.
Element x y z (fractional)
Pd 0.500 0.000 0.000  0.04
Pd 0.000 0.000 0.500  0.04
F 0.000 0.500 0.000  0.01
Pb 0.000 0.000 0.000  0.01
Rh 0.500 0.500 0.500  1.57

Output
uncorrected energy	-4.160	eV/atom
N(E_F)	8.32	states/eV/cell
formation energy without anion corrections	503	meV/atom

=====

[5]
DFT (PBE) results for a relaxed structure of Dy4InGa3.

Cell lengths 4.420, 4.113, 11.056 Å; angles 90.00, 90.00, 90.00 degrees
Element x y z (fractional)
Dy 0.500 0.500 0.369
Dy 0.000 0.500 0.855
Dy 0.500 0.000 0.637
Dy 0.000 0.000 0.146
Ga 0.500 0.000 0.912
Ga 0.000 0.500 0.577
Ga 0.000 0.000 0.426
In 0.500 0.500 0.078

Output
energy of formation	-434	kJ/mol of formula units
uncorrected energy	-4.341	eV/atom
N(E_F)	7.04	states/eV/cell

=====

[6]
DFT (PBE) results for a relaxed structure of Ba2Tl3CdO8.

Cell lengths 6.951, 6.951, 7.577 Å; angles 62.70, 62.70, 60.00 degrees
Site moments in Bohr magnetons follow the coordinates.
Element x y z (fractional)
O 0.267 0.267 0.199  0.14
O 0.748 0.284 0.220  0.12
O 0.233 0.233 0.828  0.10
O 0.233 0.707 0.828  0.10
O 0.284 0.748 0.220  0.12
O 0.748 0.748 0.220  0.12
O 0.707 0.233 0.828  0.10
O 0.721 0.721 0.838  0.18
Tl 0.496 0.496 0.014  0.01
Tl 0.994 0.496 0.014  0.01
Tl 0.496 0.994 0.014  0.01
Cd 0.943 0.943 0.171  0.01
Ba 0.130 0.130 0.609  0.00
Ba 0.493 0.493 0.522  0.00

Output
uncorrected energy	-4.861	eV/atom
N(E_F)	13.41	states/eV/cell
formation energy without anion corrections	-1180	meV/atom

=====

[7]
DFT (PBE) results for a relaxed structure of LaZr3Rh.

Cell lengths 5.131, 5.131, 5.131 Å; angles 90.00, 90.00, 90.00 degrees
Element x y z (fractional)
Zr 0.000 0.000 0.500
Zr 0.500 0.000 0.000
Zr 0.000 0.500 0.000
Rh 0.000 0.000 0.000
La 0.500 0.500 0.500

Output
energy of formation	15	kJ/mol of formula units
uncorrected energy	-7.554	eV/atom
N(E_F)	7.80	states/eV/cell
relative energy among the computed polymorphs	0.000	eV/f.u.

=====

[8]
DFT (PBE) results for a relaxed structure of Ta2TiIn.

Cell lengths 3.427, 3.427, 6.344 Å; angles 90.00, 90.00, 90.00 degrees
Element x y z (fractional)
Ta 0.000 0.000 0.225
Ta 0.000 0.000 0.775
In 0.500 0.500 0.500
Ti 0.500 0.500 0.000

Output
energy of formation	48	kJ/mol of formula units
uncorrected energy	-8.459	eV/atom
N(E_F)	4.18	states/eV/cell

=====

Among the records above, which one has the highest uncorrected energy?
Pd2RhPbF

=====

Which value of N(E_F) does entry 6 give?
13.41 states/eV/cell

=====

N(E_F) of number 8 (Ta2TiIn)?
4.18 states/eV/cell